First-principles (PBE+U) data for a relaxed structure of K2Mo3As4O20, as listed in Alexandria via LeMat-Bulk.

POSCAR file:
```
K2Mo3As4O20
1.0
10.0193 -0.0142 0.0214
5.8770 8.1146 0.0214
4.3158 2.1992 11.4113
O Mo As K
40 6 8 4
direct
0.6724 0.5961 0.5320
0.6211 0.1114 0.5877
0.8089 0.6533 0.2551
0.0729 0.8443 0.8737
0.2273 0.8394 0.1325
0.8886 0.3789 0.9123
0.3789 0.8886 0.4123
0.1557 0.9271 0.6263
0.4541 0.9045 0.6073
0.4039 0.3276 0.9680
0.8394 0.2273 0.6325
0.8035 0.7963 0.0155
0.5977 0.5614 0.2656
0.8550 0.9249 0.7380
0.9045 0.4541 0.1073
0.1965 0.2037 0.9845
0.5026 0.0993 0.8310
0.1450 0.0751 0.2620
0.0751 0.1450 0.7620
0.9271 0.1557 0.1263
0.8443 0.0729 0.3737
0.1114 0.6211 0.0877
0.4386 0.4023 0.2344
0.3467 0.1911 0.2449
0.9249 0.8550 0.2380
0.7727 0.1606 0.8675
0.6533 0.8089 0.7551
0.1911 0.3467 0.7449
0.0955 0.5459 0.8927
0.2037 0.1965 0.4845
0.1606 0.7727 0.3675
0.4023 0.4386 0.7344
0.5614 0.5977 0.7656
0.7963 0.8035 0.5155
0.3276 0.4039 0.4680
0.5459 0.0955 0.3927
0.9007 0.4974 0.6690
0.5961 0.6724 0.0320
0.4974 0.9007 0.1690
0.0993 0.5026 0.3310
0.0746 0.9254 0.2500
0.9254 0.0746 0.7500
0.3359 0.3280 0.3592
0.3280 0.3359 0.8592
0.6641 0.6720 0.6408
0.6720 0.6641 0.1408
0.3415 0.0180 0.2708
0.9881 0.2916 0.0382
0.0180 0.3415 0.7708
0.0119 0.7084 0.9618
0.9820 0.6585 0.2292
0.7084 0.0119 0.4618
0.6585 0.9820 0.7292
0.2916 0.9881 0.5382
0.6516 0.1588 0.0973
0.3484 0.8412 0.9027
0.1588 0.6516 0.5973
0.8412 0.3484 0.4027
```

Output
DOS at the Fermi energy	0.000	states/eV/atom
E_tot	-365.6	eV/cell
symmetry	C2/c
size of the total moment	0.00	μB/f.u.

***

First-principles (PBE+U) data for a relaxed structure of K2MoAsO6, as listed in Alexandria via LeMat-Bulk.

POSCAR file:
```
K2MoAsO6
1.0
-3.5413 -3.5026 -2.6038
3.2475 0.1325 -4.5853
1.9134 -4.7875 -2.2273
As O Mo K
1 6 1 2
direct
0.5000 0.5000 0.0000
0.7527 0.7526 0.0013
0.7537 0.2462 0.0000
0.7522 0.7522 0.4950
0.2473 0.2474 0.9987
0.2463 0.7538 0.0000
0.2478 0.2478 0.5050
0.0000 0.0000 0.0000
0.2499 0.7501 0.5000
0.7501 0.2499 0.5000
```

Output
DOS at the Fermi energy	0.145	states/eV/atom
E_tot	-58.1	eV/cell
symmetry	C2/m
size of the total moment	0.00	μB/f.u.

***

First-principles (PBE+U) data for a relaxed structure of KMoAs2O, as listed in Alexandria via LeMat-Bulk.

POSCAR file:
```
KMoAs2O
1.0
-4.3225 -1.4052 -2.4472
2.4488 -4.0924 -1.9755
-1.0581 -2.1241 3.0886
As K Mo O
2 1 1 1
direct
0.5000 0.0000 0.0000
0.0000 0.5000 0.0000
0.5000 0.5000 0.5000
0.0000 0.0000 0.0000
0.0000 0.0000 0.5000
```

Output
DOS at the Fermi energy	0.672	states/eV/atom
E_tot	-23.3	eV/cell
symmetry	P4/mmm
size of the total moment	0.00	μB/f.u.

***

First-principles (PBE+U) data for a relaxed structure of KMoAsO5, as listed in Alexandria via LeMat-Bulk.

POSCAR file:
```
KMoAsO5
1.0
-3.4408 -4.2188 2.3388
5.0802 -0.2450 3.0396
-3.2055 6.5061 2.0826
O K As Mo
10 2 2 2
direct
0.8878 0.3030 0.1164
0.7686 0.6094 0.4091
0.9475 0.0525 0.7500
0.2314 0.3906 0.5909
0.0525 0.9475 0.2500
0.6094 0.7686 0.9091
0.3906 0.2314 0.0909
0.6970 0.1122 0.3836
0.3030 0.8878 0.6164
0.1122 0.6970 0.8836
0.6681 0.3319 0.7500
0.3319 0.6681 0.2500
0.6898 0.3102 0.2500
0.3102 0.6898 0.7500
0.0000 0.0000 0.5000
0.0000 0.0000 0.0000
```

Output
E_tot	-100.9	eV/cell
symmetry	C2/c
size of the total moment	2.00	μB/f.u.

***

What did the second record say?
First-principles (PBE+U) data for a relaxed structure of K2MoAsO6, as listed in Alexandria via LeMat-Bulk.

POSCAR file:
```
K2MoAsO6
1.0
-3.5413 -3.5026 -2.6038
3.2475 0.1325 -4.5853
1.9134 -4.7875 -2.2273
As O Mo K
1 6 1 2
direct
0.5000 0.5000 0.0000
0.7527 0.7526 0.0013
0.7537 0.2462 0.0000
0.7522 0.7522 0.4950
0.2473 0.2474 0.9987
0.2463 0.7538 0.0000
0.2478 0.2478 0.5050
0.0000 0.0000 0.0000
0.2499 0.7501 0.5000
0.7501 0.2499 0.5000
```

Output
DOS at the Fermi energy	0.145	states/eV/atom
E_tot	-58.1	eV/cell
symmetry	C2/m
size of the total moment	0.00	μB/f.u.

***

What is the formula in the first record?
K2Mo3As4O20

***

Please write out number 3 again, unchanged.
First-principles (PBE+U) data for a relaxed structure of KMoAs2O, as listed in Alexandria via LeMat-Bulk.

POSCAR file:
```
KMoAs2O
1.0
-4.3225 -1.4052 -2.4472
2.4488 -4.0924 -1.9755
-1.0581 -2.1241 3.0886
As K Mo O
2 1 1 1
direct
0.5000 0.0000 0.0000
0.0000 0.5000 0.0000
0.5000 0.5000 0.5000
0.0000 0.0000 0.0000
0.0000 0.0000 0.5000
```

Output
DOS at the Fermi energy	0.672	states/eV/atom
E_tot	-23.3	eV/cell
symmetry	P4/mmm
size of the total moment	0.00	μB/f.u.

***

Which of these has the lowest E_tot?
K2Mo3As4O20